1.
A plane-wave DFT calculation with GGA-PBE was carried out for a geometry-optimized Nd3Al2Si3 structure.

Values from the calculation:
V   22.70 A^3/atom
Calculated density   5.22 g/cm³
Crystal system   orthorhombic
Fermi-level density of states   19.1 states/eV per cell
Energy relative to the lowest polymorph listed for this composition   0 meV per atom

Cell and atoms, written as CIF:
```
data_Nd3Al2Si3
_cell_length_a 4.226
_cell_length_b 11.139
_cell_length_c 15.432
_cell_angle_alpha 90.00
_cell_angle_beta 90.00
_cell_angle_gamma 90.00
_space_group_name_H-M_alt 'C m c m'
_space_group_IT_number 63
_space_group_name_Hall '-C 2c 2'
loop_
_atom_site_label
_atom_site_type_symbol
_atom_site_fract_x
_atom_site_fract_y
_atom_site_fract_z
_atom_site_occupancy
Nd1 Nd 0.000 0.055 0.250 1
Nd2 Nd 0.000 0.355 0.093 1
Al1 Al 0.000 0.357 0.620 1
Si1 Si 0.000 0.074 0.055 1
Si2 Si 0.000 0.220 0.750 1
```

***

2.
A plane-wave DFT calculation with GGA-PBE was carried out for a geometry-optimized Nd12AlSi5 structure.

Values from the calculation:
V   28.48 A^3/atom
Calculated density   6.15 g/cm³
Crystal system   orthorhombic
Fermi-level density of states   29.6 states/eV per cell
E_tot   -192.82 eV for the cell shown

Cell and atoms, written as CIF:
```
data_Nd12AlSi5
_cell_length_a 9.791
_cell_length_b 10.018
_cell_length_c 10.452
_cell_angle_alpha 90.00
_cell_angle_beta 90.00
_cell_angle_gamma 90.00
_space_group_name_H-M_alt 'I m m m'
_space_group_IT_number 71
_space_group_name_Hall '-I 2 2'
loop_
_atom_site_label
_atom_site_type_symbol
_atom_site_fract_x
_atom_site_fract_y
_atom_site_fract_z
_atom_site_occupancy
Nd1 Nd 0.000 0.198 0.239 1
Nd2 Nd 0.208 0.500 0.178 1
Nd3 Nd 0.231 0.320 0.500 1
Al1 Al 0.000 0.000 0.500 1
Si1 Si 0.000 0.000 0.000 1
Si2 Si 0.000 0.376 0.000 1
Si3 Si 0.000 0.500 0.386 1
```

***

3.
A plane-wave DFT calculation with GGA-PBE was carried out for a geometry-optimized NdAlSi2 structure.

Values from the calculation:
V   19.80 A^3/atom
Calculated density   4.77 g/cm³
Crystal system   orthorhombic
Fermi-level density of states   13.9 states/eV per cell
E_tot   -167.82 eV for the cell shown

Cell and atoms, written as CIF:
```
data_NdAlSi2
_cell_length_a 13.405
_cell_length_b 4.194
_cell_length_c 11.269
_cell_angle_alpha 90.00
_cell_angle_beta 90.00
_cell_angle_gamma 90.00
_space_group_name_H-M_alt 'P n m a'
_space_group_IT_number 62
loop_
_space_group_symop_operation_xyz
'x,y,z'
'-x,-y,-z'
'-x+1/2,-y,z+1/2'
'x+1/2,y,-z+1/2'
'x+1/2,-y+1/2,-z+1/2'
'-x+1/2,y+1/2,z+1/2'
'-x,y+1/2,-z'
'x,-y+1/2,z'
loop_
_atom_site_label
_atom_site_type_symbol
_atom_site_fract_x
_atom_site_fract_y
_atom_site_fract_z
_atom_site_occupancy
Nd1 Nd 0.053 0.250 0.235 1
Nd2 Nd 0.201 0.750 0.967 1
Al1 Al 0.063 0.250 0.556 1
Al2 Al 0.191 0.750 0.661 1
Si1 Si 0.025 0.250 0.961 1
Si2 Si 0.110 0.250 0.779 1
Si3 Si 0.128 0.750 0.438 1
Si4 Si 0.215 0.750 0.242 1
```

***

4.
A plane-wave DFT calculation with GGA-PBE was carried out for a geometry-optimized Nd2AlSi structure.

Values from the calculation:
V   24.63 A^3/atom
Calculated density   5.79 g/cm³
Crystal system   tetragonal
Fermi-level density of states   2.8 states/eV per cell
E_tot   -20.22 eV for the cell shown

Cell and atoms, written as CIF:
```
data_Nd2AlSi
_cell_length_a 4.854
_cell_length_b 4.854
_cell_length_c 4.182
_cell_angle_alpha 90.00
_cell_angle_beta 90.00
_cell_angle_gamma 90.00
_space_group_name_H-M_alt 'P 4/m m m'
_space_group_IT_number 123
_space_group_name_Hall '-P 4 2'
loop_
_atom_site_label
_atom_site_type_symbol
_atom_site_fract_x
_atom_site_fract_y
_atom_site_fract_z
_atom_site_occupancy
Nd1 Nd 0.000 0.500 0.000 1
Al1 Al 0.000 0.000 0.500 1
Si1 Si 0.500 0.500 0.500 1
```

***

5.
A plane-wave DFT calculation with GGA-PBE was carried out for a geometry-optimized Nd2Al2Si structure.

Values from the calculation:
V   23.60 A^3/atom
Calculated density   5.21 g/cm³
Crystal system   orthorhombic
Fermi-level density of states   4.7 states/eV per cell
E_tot   -50.23 eV for the cell shown

Cell and atoms, written as CIF:
```
data_Nd2Al2Si
_cell_length_a 4.240
_cell_length_b 4.063
_cell_length_c 13.696
_cell_angle_alpha 90.00
_cell_angle_beta 90.00
_cell_angle_gamma 90.00
_space_group_name_H-M_alt 'A m m 2'
_space_group_IT_number 38
loop_
_space_group_symop_operation_xyz
'x,y,z'
'-x,-y,z'
'-x,y,z'
'x,-y,z'
'x,y+1/2,z+1/2'
'-x,-y+1/2,z+1/2'
'-x,y+1/2,z+1/2'
'x,-y+1/2,z+1/2'
loop_
_atom_site_label
_atom_site_type_symbol
_atom_site_fract_x
_atom_site_fract_y
_atom_site_fract_z
_atom_site_occupancy
Nd1 Nd 0.000 0.000 0.000 1
Nd2 Nd 0.000 0.000 0.254 1
Al1 Al 0.500 0.000 0.627 1
Al2 Al 0.500 0.000 0.827 1
Si1 Si 0.500 0.000 0.431 1
```

***

6.
A plane-wave DFT calculation with GGA-PBE was carried out for a geometry-optimized Nd2AlSi3 structure.

Values from the calculation:
V   21.29 A^3/atom
Calculated density   5.20 g/cm³
Crystal system   orthorhombic
Fermi-level density of states   4.2 states/eV per cell
E_tot   -66.66 eV for the cell shown

Cell and atoms, written as CIF:
```
data_Nd2AlSi3
_cell_length_a 4.235
_cell_length_b 4.281
_cell_length_c 14.090
_cell_angle_alpha 90.00
_cell_angle_beta 90.00
_cell_angle_gamma 90.00
_space_group_name_H-M_alt 'I m m 2'
_space_group_IT_number 44
loop_
_space_group_symop_operation_xyz
'x,y,z'
'-x,-y,z'
'-x,y,z'
'x,-y,z'
'x+1/2,y+1/2,z+1/2'
'-x+1/2,-y+1/2,z+1/2'
'-x+1/2,y+1/2,z+1/2'
'x+1/2,-y+1/2,z+1/2'
loop_
_atom_site_label
_atom_site_type_symbol
_atom_site_fract_x
_atom_site_fract_y
_atom_site_fract_z
_atom_site_occupancy
Nd1 Nd 0.000 0.000 0.000 1
Nd2 Nd 0.000 0.500 0.241 1
Al1 Al 0.000 0.000 0.411 1
Si1 Si 0.000 0.000 0.583 1
Si2 Si 0.000 0.500 0.659 1
Si3 Si 0.000 0.500 0.825 1
```

***

7.
A plane-wave DFT calculation with GGA-PBE was carried out for a geometry-optimized Nd3AlSi4 structure.

Values from the calculation:
V   24.43 A^3/atom
Calculated density   4.86 g/cm³
Crystal system   orthorhombic
Fermi-level density of states   4.2 states/eV per cell
E_tot   -87.73 eV for the cell shown

Cell and atoms, written as CIF:
```
data_Nd3AlSi4
_cell_length_a 4.463
_cell_length_b 5.818
_cell_length_c 15.056
_cell_angle_alpha 90.00
_cell_angle_beta 90.00
_cell_angle_gamma 90.00
_space_group_name_H-M_alt 'I m m m'
_space_group_IT_number 71
_space_group_name_Hall '-I 2 2'
loop_
_atom_site_label
_atom_site_type_symbol
_atom_site_fract_x
_atom_site_fract_y
_atom_site_fract_z
_atom_site_occupancy
Nd1 Nd 0.000 0.000 0.000 1
Nd2 Nd 0.000 0.500 0.188 1
Al1 Al 0.000 0.000 0.500 1
Si1 Si 0.000 0.300 0.376 1
```

***

8.
A plane-wave DFT calculation with GGA-PBE was carried out for a geometry-optimized Nd3AlSi3 structure.

Values from the calculation:
V   23.32 A^3/atom
Calculated density   5.53 g/cm³
Crystal system   orthorhombic
Fermi-level density of states   10.3 states/eV per cell
E_tot   -78.42 eV for the cell shown

Cell and atoms, written as CIF:
```
data_Nd3AlSi3
_cell_length_a 4.015
_cell_length_b 4.414
_cell_length_c 18.422
_cell_angle_alpha 90.00
_cell_angle_beta 90.00
_cell_angle_gamma 90.00
_space_group_name_H-M_alt 'I m m 2'
_space_group_IT_number 44
loop_
_space_group_symop_operation_xyz
'x,y,z'
'-x,-y,z'
'-x,y,z'
'x,-y,z'
'x+1/2,y+1/2,z+1/2'
'-x+1/2,-y+1/2,z+1/2'
'-x+1/2,y+1/2,z+1/2'
'x+1/2,-y+1/2,z+1/2'
loop_
_atom_site_label
_atom_site_type_symbol
_atom_site_fract_x
_atom_site_fract_y
_atom_site_fract_z
_atom_site_occupancy
Nd1 Nd 0.000 0.000 0.000 1
Nd2 Nd 0.000 0.000 0.370 1
Nd3 Nd 0.000 0.500 0.691 1
Al1 Al 0.000 0.500 0.120 1
Si1 Si 0.000 0.000 0.541 1
Si2 Si 0.000 0.000 0.830 1
Si3 Si 0.000 0.500 0.253 1
```

***

9.
A plane-wave DFT calculation with GGA-PBE was carried out for a geometry-optimized NdAlSi2 structure.

Values from the calculation:
V   22.05 A^3/atom
Calculated density   4.28 g/cm³
Crystal system   orthorhombic
Fermi-level density of states   4.1 states/eV per cell
E_tot   -40.17 eV for the cell shown

Cell and atoms, written as CIF:
```
data_NdAlSi2
_cell_length_a 3.826
_cell_length_b 5.608
_cell_length_c 8.220
_cell_angle_alpha 90.00
_cell_angle_beta 90.00
_cell_angle_gamma 90.00
_space_group_name_H-M_alt 'A m m 2'
_space_group_IT_number 38
loop_
_space_group_symop_operation_xyz
'x,y,z'
'-x,-y,z'
'-x,y,z'
'x,-y,z'
'x,y+1/2,z+1/2'
'-x,-y+1/2,z+1/2'
'-x,y+1/2,z+1/2'
'x,-y+1/2,z+1/2'
loop_
_atom_site_label
_atom_site_type_symbol
_atom_site_fract_x
_atom_site_fract_y
_atom_site_fract_z
_atom_site_occupancy
Nd1 Nd 0.000 0.000 0.000 1
Al1 Al 0.500 0.000 0.543 1
Si1 Si 0.500 0.211 0.270 1
```

***

10.
A plane-wave DFT calculation with GGA-PBE was carried out for a geometry-optimized Nd2AlSi structure.

Values from the calculation:
V   25.91 A^3/atom
Calculated density   5.50 g/cm³
Crystal system   monoclinic
Fermi-level density of states   6.6 states/eV per cell
E_tot   -42.21 eV for the cell shown

Cell and atoms, written as CIF:
```
data_Nd2AlSi
_cell_length_a 6.086
_cell_length_b 4.077
_cell_length_c 8.801
_cell_angle_alpha 90.00
_cell_angle_beta 108.34
_cell_angle_gamma 90.00
_space_group_name_H-M_alt 'P 1 21/m 1'
_space_group_IT_number 11
loop_
_space_group_symop_operation_xyz
'x,y,z'
'-x,-y,-z'
'-x,y+1/2,-z'
'x,-y+1/2,z'
loop_
_atom_site_label
_atom_site_type_symbol
_atom_site_fract_x
_atom_site_fract_y
_atom_site_fract_z
_atom_site_occupancy
Nd1 Nd 0.205 0.250 0.426 1
Nd2 Nd 0.280 0.750 0.068 1
Al1 Al 0.354 0.750 0.718 1
Si1 Si 0.148 0.250 0.787 1
```

***

11.
A plane-wave DFT calculation with GGA-PBE was carried out for a geometry-optimized Nd3AlSi structure.

Values from the calculation:
V   28.06 A^3/atom
Calculated density   5.77 g/cm³
Crystal system   triclinic
Fermi-level density of states   9.2 states/eV per cell
E_tot   -50.65 eV for the cell shown

Cell and atoms, written as CIF:
```
data_Nd3AlSi
_cell_length_a 4.209
_cell_length_b 7.916
_cell_length_c 8.742
_cell_angle_alpha 87.57
_cell_angle_beta 89.96
_cell_angle_gamma 74.67
_space_group_name_H-M_alt 'P -1'
_space_group_IT_number 2
loop_
_space_group_symop_operation_xyz
'x,y,z'
'-x,-y,-z'
loop_
_atom_site_label
_atom_site_type_symbol
_atom_site_fract_x
_atom_site_fract_y
_atom_site_fract_z
_atom_site_occupancy
Nd1 Nd 0.047 0.404 0.170 1
Nd2 Nd 0.236 0.026 0.823 1
Nd3 Nd 0.409 0.680 0.408 1
Al1 Al 0.207 0.087 0.436 1
Si1 Si 0.393 0.713 0.065 1
```

***

12.
A plane-wave DFT calculation with GGA-PBE was carried out for a geometry-optimized Nd3Al2Si4 structure.

Values from the calculation:
V   21.27 A^3/atom
Calculated density   5.20 g/cm³
Crystal system   monoclinic
Fermi-level density of states   8.4 states/eV per cell
Energy relative to the lowest polymorph listed for this composition   0 meV per atom

Cell and atoms, written as CIF:
```
data_Nd3Al2Si4
_cell_length_a 11.068
_cell_length_b 4.224
_cell_length_c 8.331
_cell_angle_alpha 90.00
_cell_angle_beta 100.58
_cell_angle_gamma 90.00
_space_group_name_H-M_alt 'C 1 2/m 1'
_space_group_IT_number 12
loop_
_space_group_symop_operation_xyz
'x,y,z'
'-x,-y,-z'
'-x,y,-z'
'x,-y,z'
'x+1/2,y+1/2,z'
'-x+1/2,-y+1/2,-z'
'-x+1/2,y+1/2,-z'
'x+1/2,-y+1/2,z'
loop_
_atom_site_label
_atom_site_type_symbol
_atom_site_fract_x
_atom_site_fract_y
_atom_site_fract_z
_atom_site_occupancy
Nd1 Nd 0.000 0.000 0.000 1
Nd2 Nd 0.165 0.500 0.670 1
Al1 Al 0.112 0.500 0.276 1
Si1 Si 0.057 0.000 0.391 1
Si2 Si 0.222 0.500 0.049 1
```